A geometry-optimized LaScSe2 structure. Source: the Alexandria database, functional GGA-PBE.

E above lowest polymorph   0.294 eV per atom
Formation energy without anion corrections   -1.4861 eV/atom

The structure in CIF format:
```
data_LaScSe2
_symmetry_space_group_name_H-M 'F m -3 m'
_symmetry_Int_Tables_number 225
_symmetry_space_group_name_Hall '-F 4 2 3'
_cell_length_a 7.162
_cell_length_b 7.162
_cell_length_c 7.162
_cell_angle_alpha 90.00
_cell_angle_beta 90.00
_cell_angle_gamma 90.00
loop_
_atom_site_label
_atom_site_fract_x
_atom_site_fract_y
_atom_site_fract_z
_atom_site_occupancy
La1 0.000 0.000 0.000 1
Sc1 0.000 0.000 0.500 1
Se1 0.250 0.250 0.250 1
```

=====

A geometry-optimized La2SmScSe4 structure. Source: the Alexandria database, functional GGA-PBE.

Formation energy without anion corrections   -1.8295 eV/atom

The structure in CIF format:
```
data_La2SmScSe4
_symmetry_space_group_name_H-M 'P 1 2/m 1'
_symmetry_Int_Tables_number 10
_symmetry_space_group_name_Hall '-P 2y'
_cell_length_a 7.222
_cell_length_b 4.126
_cell_length_c 7.297
_cell_angle_alpha 90.00
_cell_angle_beta 108.91
_cell_angle_gamma 90.00
loop_
_atom_site_label
_atom_site_fract_x
_atom_site_fract_y
_atom_site_fract_z
_atom_site_occupancy
La1 0.000 0.000 0.000 1
La2 0.500 0.500 0.000 1
Sm1 0.000 0.500 0.500 1
Sc1 0.500 0.000 0.500 1
Se1 0.255 0.000 0.732 1
Se2 0.270 0.500 0.276 1
```

=====

A geometry-optimized LaSmScSe3 structure. Source: the Alexandria database, functional GGA-PBE.

Formation energy without anion corrections   -1.6584 eV/atom

The structure in CIF format:
```
data_LaSmScSe3
_symmetry_space_group_name_H-M 'P 1 21/m 1'
_symmetry_Int_Tables_number 11
_symmetry_space_group_name_Hall '-P 2yb'
_cell_length_a 8.573
_cell_length_b 4.137
_cell_length_c 9.370
_cell_angle_alpha 90.00
_cell_angle_beta 104.77
_cell_angle_gamma 90.00
loop_
_atom_site_label
_atom_site_fract_x
_atom_site_fract_y
_atom_site_fract_z
_atom_site_occupancy
La1 0.182 0.250 0.216 1
Sm1 0.347 0.750 0.859 1
Sc1 0.104 0.250 0.599 1
Se1 0.099 0.250 0.879 1
Se2 0.231 0.750 0.491 1
Se3 0.431 0.750 0.185 1
```

=====

A geometry-optimized La2SmScSe6 structure. Source: the Alexandria database, functional GGA-PBE.

Formation energy without anion corrections   -1.9040 eV/atom

The structure in CIF format:
```
data_La2SmScSe6
_symmetry_space_group_name_H-M 'P 1 21/c 1'
_symmetry_Int_Tables_number 14
_symmetry_space_group_name_Hall '-P 2ybc'
_cell_length_a 6.979
_cell_length_b 7.716
_cell_length_c 12.366
_cell_angle_alpha 90.00
_cell_angle_beta 123.01
_cell_angle_gamma 90.00
loop_
_atom_site_label
_atom_site_fract_x
_atom_site_fract_y
_atom_site_fract_z
_atom_site_occupancy
La1 0.204 0.103 0.246 1
Sm1 0.500 0.000 0.000 1
Sc1 0.000 0.000 0.500 1
Se1 0.096 0.192 0.931 1
Se2 0.247 0.678 0.931 1
Se3 0.381 0.046 0.739 1
```

=====

A geometry-optimized LaSm2ScSe6 structure. Source: the Alexandria database, functional GGA-PBE.

Formation energy without anion corrections   -1.8124 eV/atom

The structure in CIF format:
```
data_LaSm2ScSe6
_symmetry_space_group_name_H-M 'R 3'
_symmetry_Int_Tables_number 146
_symmetry_space_group_name_Hall 'R 3'
_cell_length_a 7.3103
_cell_length_b 7.3103
_cell_length_c 19.4547
_cell_angle_alpha 90.00
_cell_angle_beta 90.00
_cell_angle_gamma 120.00
loop_
_atom_site_label
_atom_site_fract_x
_atom_site_fract_y
_atom_site_fract_z
_atom_site_occupancy
La1 0.0000 0.0000 0.0000 1
Sm1 0.0000 0.0000 0.2918 1
Sm2 0.0000 0.0000 0.7985 1
Sc1 0.0000 0.0000 0.4912 1
Se1 0.0074 0.7155 0.3996 1
Se2 0.0332 0.3392 0.5629 1
```

=====

A geometry-optimized LaSm2ScSe4 structure. Source: the Alexandria database, functional GGA-PBE.

Formation energy without anion corrections   -1.7693 eV/atom

The structure in CIF format:
```
data_LaSm2ScSe4
_symmetry_space_group_name_H-M 'P 1 2/m 1'
_symmetry_Int_Tables_number 10
_symmetry_space_group_name_Hall '-P 2y'
_cell_length_a 7.174
_cell_length_b 4.100
_cell_length_c 7.241
_cell_angle_alpha 90.00
_cell_angle_beta 108.90
_cell_angle_gamma 90.00
loop_
_atom_site_label
_atom_site_fract_x
_atom_site_fract_y
_atom_site_fract_z
_atom_site_occupancy
La1 0.000 0.000 0.000 1
Sm1 0.500 0.000 0.500 1
Sm2 0.500 0.500 0.000 1
Sc1 0.000 0.500 0.500 1
Se1 0.237 0.000 0.731 1
Se2 0.248 0.500 0.265 1
```

=====

Which formula does entry 1 have?
LaScSe2

=====

Repeat the third record exactly.
A geometry-optimized LaSmScSe3 structure. Source: the Alexandria database, functional GGA-PBE.

Formation energy without anion corrections   -1.6584 eV/atom

The structure in CIF format:
```
data_LaSmScSe3
_symmetry_space_group_name_H-M 'P 1 21/m 1'
_symmetry_Int_Tables_number 11
_symmetry_space_group_name_Hall '-P 2yb'
_cell_length_a 8.573
_cell_length_b 4.137
_cell_length_c 9.370
_cell_angle_alpha 90.00
_cell_angle_beta 104.77
_cell_angle_gamma 90.00
loop_
_atom_site_label
_atom_site_fract_x
_atom_site_fract_y
_atom_site_fract_z
_atom_site_occupancy
La1 0.182 0.250 0.216 1
Sm1 0.347 0.750 0.859 1
Sc1 0.104 0.250 0.599 1
Se1 0.099 0.250 0.879 1
Se2 0.231 0.750 0.491 1
Se3 0.431 0.750 0.185 1
```

=====

Look up the formation energy without anion corrections of the fourth one.
-1.9040 eV/atom

=====

Which of these has the lowest formation energy without anion corrections?
La2SmScSe6